{
  "formula": "MgTiI2O",
  "functional": "PBE-GGA",
  "state": "relaxed",
  "de_polymorph_ev_per_atom": 0.559,
  "magmom_total_mub_per_fu": 1.99,
  "e_tot_ev_per_atom": -3.981,
  "dos_at_fermi_per_ev_atom": 0.9611,
  "crystal_system": "tetragonal",
  "density_g_cm3": 4.63,
  "lattice": [[5.729, 0.000, 0.000], [0.000, 5.729, 0.000], [0.000, 0.000, 3.738]],
  "species": ["I", "I", "O", "Mg", "Ti"],
  "frac_coords": [[0.500, 0.000, 0.000], [0.000, 0.500, 0.000], [0.000, 0.000, 0.500], [0.000, 0.000, 0.000], [0.500, 0.500, 0.500]]
}